! CrSnO2, relaxed, DFT PBE with a Hubbard U; values from VASP
! total moment: 2.99 μB/f.u.
! D(E_F): 0.42 states/eV per cell
! total DFT energy (no corrections): -27.2 eV per cell
&SYSTEM
  ibrav = 0, nat = 4, ntyp = 3
/
ATOMIC_SPECIES
Cr 52.00 Cr.upf
Sn 118.71 Sn.upf
O 16.00 O.upf
ATOMIC_POSITIONS crystal
Cr 0.0000 0.0000 0.0000
Sn 0.3333 0.6667 0.5112
O 0.3333 0.6667 0.8421
O 0.6667 0.3333 0.1452
CELL_PARAMETERS angstrom
3.1044 0.0000 0.0000
-1.5522 2.6885 0.0000
0.0000 0.0000 6.6458